VASP calculation (PBE) on crystalline KAs2PdRh at its relaxed geometry.

Properties
* volume: 22.8 A^3/atom
* symmetry: No. 119
* energy of formation from the pure elements: -0.49 eV per atom
* M_tot: 0.0 Bohr magnetons per cell

a = 4.2384 Å, b = 4.2384 Å, c = 7.0195 Å
α = 107.57°, β = 107.57°, γ = 90.00°
Closest atoms and distances in Å follow each position.
Element x y z (fractional)
K 0.0000 0.0000 0.0000  8 As 3.54, 4 Pd 3.82, 4 Rh 3.82
As 0.6490 0.6490 0.2980  2 Pd 2.48, 2 Rh 2.48
As 0.3510 0.3510 0.7020  2 Rh 2.48, 2 Pd 2.48
Pd 0.2500 0.7500 0.5000  4 As 2.48
Rh 0.7500 0.2500 0.5000  4 As 2.48


VASP calculation (PBE) on crystalline MgCuNiPd at its relaxed geometry.

Properties
* volume: 13.7 A^3/atom
* symmetry: No. 216
* energy of formation from the pure elements: -0.25 eV per atom
* M_tot: 0.0 Bohr magnetons per cell

a = 4.2607 Å, b = 4.2607 Å, c = 4.2607 Å
α = 60.00°, β = 60.00°, γ = 60.00°
Closest atoms and distances in Å follow each position.
Element x y z (fractional)
Ni 0.0000 0.0000 0.0000  4 Mg 2.61, 4 Cu 2.61
Mg 0.7500 0.7500 0.7500  4 Pd 2.61, 4 Ni 2.61
Cu 0.2500 0.2500 0.2500  4 Ni 2.61, 4 Pd 2.61
Pd 0.5000 0.5000 0.5000  4 Mg 2.61, 4 Cu 2.61


VASP calculation (PBE) on crystalline Re2IrBr at its relaxed geometry.

Properties
* volume: 16.0 A^3/atom
* polymorph energy (0 for the lowest one): 0.6585 eV per atom
* symmetry: No. 47
* E_form (uncorrected): 1.19 eV/atom
* M_tot: 0.0 Bohr magnetons per cell

a = 2.8366 Å, b = 4.6862 Å, c = 4.8059 Å
α = 90.00°, β = 90.00°, γ = 90.00°
Closest atoms and distances in Å follow each position.
Element x y z (fractional)
Re 0.0000 0.0000 0.0000  6 Re 2.74-2.84, 4 Br 2.79
Re 0.5000 0.5000 0.0000  6 Re 2.74-2.84, 4 Ir 2.79
Ir 0.0000 0.5000 0.5000  4 Br 2.74, 4 Re 2.79, 2 Ir 2.84
Br 0.5000 0.0000 0.5000  4 Ir 2.74, 4 Re 2.79, 2 Br 2.84


VASP calculation (PBE) on crystalline La3TePb at its relaxed geometry.

Properties
* volume: 42.0 A^3/atom
* polymorph energy (0 for the lowest one): 0.4442 eV per atom
* symmetry: No. 221
* E_form (uncorrected): -0.38 eV/atom
* M_tot: 0.0 Bohr magnetons per cell

a = 5.9419 Å, b = 5.9419 Å, c = 5.9419 Å
α = 90.00°, β = 90.00°, γ = 90.00°
Closest atoms and distances in Å follow each position.
Element x y z (fractional)
Pb 0.5000 0.5000 0.5000  12 La 4.20
Te 0.0000 0.0000 0.0000  6 La 2.97
La 0.0000 0.5000 0.0000  2 Te 2.97
La 0.0000 0.0000 0.5000  2 Te 2.97
La 0.5000 0.0000 0.0000  2 Te 2.97